1.
DFT (PBE) results for a relaxed structure of TeMo2.

The calculation puts the formation energy without anion corrections at 0.041 eV/atom. The value obtained for the mass density is 7.8 Mg/m³. The relative energy among the computed polymorphs is 0.000 eV per atom.

The structure belongs to space group Cmcm (No. 63); the cell edges are 3.298, 19.249 and 4.284 Å and the angles 90.00°, 90.00° and 90.00°. The inequivalent atoms are Te at (0.000, 0.167, 0.250), Mo at (0.000, 0.063, 0.750) and Mo at (0.000, 0.449, 0.750).

---

2.
DFT (PBE) results for a relaxed structure of SrYSi2.

The calculation puts the formation energy without anion corrections at -0.221 eV/atom. The value obtained for the mass density is 4.0 Mg/m³. The relative energy among the computed polymorphs is 0.215 eV per atom.

The structure belongs to space group Fm-3m (No. 225); the cell edges are 7.299, 7.299 and 7.299 Å and the angles 90.00°, 90.00° and 90.00°. The inequivalent atoms are Sr at (0.000, 0.000, 0.000), Y at (0.000, 0.000, 0.500) and Si at (0.250, 0.250, 0.250).

---

3.
DFT (PBE) results for a relaxed structure of LiTl2Cd.

The calculation puts the energy of formation at -0.061 eV/atom. The value obtained for the mass density is 9.1 Mg/m³.

The structure belongs to space group P4/mmm (No. 123); the cell edges are 3.297, 3.297 and 8.823 Å and the angles 90.00°, 90.00° and 90.00°. The inequivalent atoms are Li at (0.000, 0.000, 0.000), Tl at (0.500, 0.500, 0.231) and Cd at (0.000, 0.000, 0.500).

---

4.
DFT (PBE) results for a relaxed structure of K2AlIn3Ga4.

The calculation puts the energy of formation at -0.091 eV/atom. The value obtained for the mass density is 4.7 Mg/m³.

The structure belongs to space group P-4m2 (No. 115); the cell edges are 4.673, 4.673 and 11.832 Å and the angles 90.00°, 90.00° and 90.00°. The inequivalent atoms are K at (0.000, 0.500, 0.246), Al at (0.500, 0.500, 0.000), In at (0.000, 0.000, 0.000), In at (0.000, 0.500, 0.638), Ga at (0.000, 0.000, 0.500), Ga at (0.000, 0.500, 0.871) and Ga at (0.500, 0.500, 0.500).

---

5.
DFT (PBE) results for a relaxed structure of RbCd2H.

The value obtained for the mass density is 4.5 Mg/m³.

The structure belongs to space group I-42d (No. 122); the cell edges are 6.893, 6.893 and 9.768 Å and the angles 90.00°, 90.00° and 90.00°. The inequivalent atoms are Rb at (0.000, 0.000, 0.000), Cd at (0.001, 0.750, 0.625) and H at (0.000, 0.000, 0.500).

---

6.
DFT (PBE) results for a relaxed structure of PmNpOs.

The calculation puts the energy of formation at 0.195 eV/atom. The value obtained for the mass density is 13.7 Mg/m³. The relative energy among the computed polymorphs is 0.000 eV per atom.

The structure belongs to space group I4mm (No. 107); the cell edges are 3.547, 3.547 and 11.000 Å and the angles 90.00°, 90.00° and 90.00°. The inequivalent atoms are Pm at (0.000, 0.000, 0.000), Np at (0.000, 0.000, 0.294) and Os at (0.000, 0.000, 0.692).

---

7.
DFT (PBE) results for a relaxed structure of Li2HoGe2.

The calculation puts the energy of formation at -0.560 eV/atom. The value obtained for the mass density is 5.8 Mg/m³. The relative energy among the computed polymorphs is 0.000 eV per atom.

The structure belongs to space group I4/mmm (No. 139); the cell edges are 4.015, 4.015 and 11.516 Å and the angles 90.00°, 90.00° and 90.00°. The inequivalent atoms are Li at (0.000, 0.500, 0.250), Ho at (0.000, 0.000, 0.000) and Ge at (0.000, 0.000, 0.393).

---

8.
DFT (PBE) results for a relaxed structure of Sr3Np3WN8.

The calculation puts the formation energy without anion corrections at -0.907 eV/atom. The value obtained for the mass density is 8.7 Mg/m³.

The structure belongs to space group R-3m (No. 166, hexagonal axes); the cell edges are 6.8159, 6.8159 and 18.0103 Å and the angles 90.00°, 90.00° and 120.00°. The inequivalent atoms are Sr at (0.0000, 0.5000, 0.0000), Np at (0.0000, 0.5000, 0.5000), W at (0.0000, 0.0000, 0.5000), N at (0.0000, 0.0000, 0.2355) and N at (0.0260, 0.5130, 0.2276).

---

Number 1: E -98.72 eV/cell. Number 2: E -79.50 eV/cell. Number 3: E -7.81 eV/cell. Number 4: E -27.17 eV/cell. Number 5: E -21.11 eV/cell. Number 6: E -56.67 eV/cell. Number 7: E -40.88 eV/cell. Number 8: E -411.08 eV/cell.